1.
# InGe2S6

A relaxed structure of InGe2S6 (PBE-GGA, Alexandria).

The structure belongs to space group C2/c (No. 15); the cell edges are 12.353, 13.459 and 6.186 Å and the angles 90.00°, 114.39° and 90.00°. The distinct sites, in fractional coordinates, are In at (0.000, 0.209, 0.250), Ge at (0.218, 0.427, 0.331), S at (0.088, 0.089, 0.596), S at (0.142, 0.291, 0.119) and S at (0.158, 0.429, 0.627).

The total DFT energy (no corrections) comes out at -4.31 eV/atom. The total moment comes out at 3.18 μB per cell. The value obtained for the formation energy from raw total energies is -0.227 eV per atom.

2.
# LiHoH2

A relaxed structure of LiHoH2 (PBE-GGA, Alexandria).

The structure belongs to space group R-3m (No. 166, hexagonal axes); the cell edges are 3.2372, 3.2372 and 16.0765 Å and the angles 90.00°, 90.00° and 120.00°. The distinct sites, in fractional coordinates, are Li at (0.0000, 0.0000, 0.0000), Ho at (0.0000, 0.0000, 0.5000) and H at (0.0000, 0.0000, 0.2567).

The total DFT energy (no corrections) comes out at -3.58 eV/atom. The total moment comes out at 0.00 μB per cell.

3.
# BaYSi2O

A relaxed structure of BaYSi2O (PBE-GGA, Alexandria).

The structure belongs to space group P4/mmm (No. 123); the cell edges are 5.084, 5.084 and 4.433 Å and the angles 90.00°, 90.00° and 90.00°. The distinct sites, in fractional coordinates, are Ba at (0.000, 0.000, 0.000), Y at (0.500, 0.500, 0.000), Si at (0.000, 0.500, 0.500) and O at (0.500, 0.500, 0.500).

The total DFT energy (no corrections) comes out at -5.36 eV/atom. The total moment comes out at 0.00 μB per cell. The value obtained for the formation energy from raw total energies is -0.520 eV per atom.